Record 1
The following is a DFT calculation (PBE) of crystalline Sr2Ca4Sb3H2 at its relaxed geometry.

Computed properties:
total moment	0.000	μB per atom
E	-3.652	eV/atom
Fermi-level density of states	2.850	states/eV/f.u.

Lattice parameters (Å, degrees): 4.876 4.876 25.578 90.00 90.00 90.00
Space group I4/mmm (No. 139)
One atom of each set of equivalent atoms:
Sr1 0.000 0.000 0.198 [4 per cell]
Ca1 0.000 0.500 0.080 [8 per cell]
Sb1 0.000 0.000 0.331 [4 per cell]
Sb2 0.000 0.000 0.500 [2 per cell]
H1 0.000 0.000 0.095 [4 per cell]

***

Record 2
The following is a DFT calculation (PBE) of crystalline NaTl2ReO at its relaxed geometry.

Computed properties:
total moment	0.874	μB per atom
raw formation energy	1.85	eV/atom
E	-2.839	eV/atom
Fermi-level density of states	5.249	states/eV/f.u.

Lattice parameters (Å, degrees): 5.519 5.519 5.187 90.00 90.00 90.00
Space group P4/mmm (No. 123)
One atom of each set of equivalent atoms:
Na1 0.000 0.000 0.000 [1 per cell]
Tl1 0.000 0.500 0.000 [2 per cell]
Re1 0.000 0.000 0.500 [1 per cell]
O1 0.500 0.500 0.500 [1 per cell]

***

Record 3
The following is a DFT calculation (PBE) of crystalline BaZr2CoCl at its relaxed geometry.

Computed properties:
total moment	0.255	μB per atom
raw formation energy	0.49	eV/atom
E	-5.105	eV/atom
Fermi-level density of states	4.265	states/eV/f.u.

Lattice parameters (Å, degrees): 4.828 4.828 5.730 90.00 90.00 90.00
Space group P4/mmm (No. 123)
One atom of each set of equivalent atoms:
Ba1 0.000 0.000 0.000 [1 per cell]
Zr1 0.000 0.500 0.500 [2 per cell]
Co1 0.500 0.500 0.000 [1 per cell]
Cl1 0.000 0.000 0.500 [1 per cell]

***

> Which of these has the highest Fermi-level density of states?

NaTl2ReO

***

> Look up the E of the second one.

-2.839 eV/atom

***

> What is the formula in the third record?

BaZr2CoCl